(1)
Below is a relaxed structure of Fe2AgIr, with properties calculated at the PBE level.

It has space group I-42d (No. 122), with a = 6.746 Å, b = 6.746 Å, c = 5.276 Å, α = 90.00°, β = 90.00° and γ = 90.00°. The inequivalent atoms are Fe at (0.209, 0.250, 0.125), Ag at (0.000, 0.000, 0.500) and Ir at (0.000, 0.000, 0.000).

Its total energy is -6.233 eV per atom. Its energy relative to the elements is 3.71 eV/f.u. The value obtained for the density of states at the Fermi level is 1.178 states/eV/atom.



(2)
Below is a relaxed structure of Zr3MnAs, with properties calculated at the PBE level.

It has space group Pm-3m (No. 221), with a = 4.779 Å, b = 4.779 Å, c = 4.779 Å, α = 90.00°, β = 90.00° and γ = 90.00°. The inequivalent atoms are Zr at (0.000, 0.000, 0.500), Mn at (0.000, 0.000, 0.000) and As at (0.500, 0.500, 0.500).

Its total energy is -7.715 eV per atom. The calculation puts the offset from the most stable computed form at 0 meV per atom. Its energy relative to the elements is 0.89 eV/f.u. The value obtained for the density of states at the Fermi level is 1.518 states/eV/atom.